No. 1
LaEu2Ge, relaxed, DFT PBE; space-group type = P4/mmm; formation energy from the elements = -0.312 eV/atom
1.0
-2.0086 4.6152 0.4295
-0.8902 -0.8238 4.6893
4.3542 1.7889 1.1408
Eu Ge La
2 1 1
Direct
0.0000 0.0000 0.5000 Eu
0.0000 0.5000 0.0000 Eu
0.5000 0.5000 0.5000 Ge
0.5000 0.0000 0.0000 La

***

No. 2
LaEuGe2, relaxed, DFT PBE; space-group type = Fm-3m; E above lowest polymorph = 0.0316 eV per atom; formation energy from the elements = -0.597 eV/atom
1.0
5.2809 0.0000 0.0000
2.6404 4.5734 0.0000
2.6404 1.5245 4.3118
Eu Ge La
1 2 1
Direct
0.0000 0.0000 0.0000 Eu
0.2500 0.2500 0.2500 Ge
0.7500 0.7500 0.7500 Ge
0.5000 0.5000 0.5000 La

***

No. 3
LiLaEuGe, relaxed, DFT PBE; space-group type = F-43m; formation energy from the elements = -0.396 eV/atom
1.0
5.3185 0.0000 0.0000
2.6593 4.6060 0.0000
2.6593 1.5353 4.3426
Eu Ge Li La
1 1 1 1
Direct
0.0000 0.0000 0.0000 Eu
0.2500 0.2500 0.2500 Ge
0.7500 0.7500 0.7500 Li
0.5000 0.5000 0.5000 La

***

No. 4
LaEuNiGe, relaxed, DFT PBE; space-group type = F-43m; formation energy from the elements = -0.383 eV/atom
1.0
-1.9292 1.6939 4.4724
2.3668 -1.1585 4.4328
2.4659 3.6772 2.6441
Eu Ni Ge La
1 1 1 1
Direct
0.0000 0.0000 0.0000 Eu
0.2500 0.2500 0.2500 Ni
0.7500 0.7500 0.7500 Ge
0.5000 0.5000 0.5000 La

***

No. 5
LaEuGePd, relaxed, DFT PBE; space-group type = F-43m; formation energy from the elements = -0.686 eV/atom
1.0
-1.5804 4.7559 -1.5109
-4.7283 0.6240 -2.1570
-3.7808 2.4661 2.6501
Eu Ge Pd La
1 1 1 1
Direct
0.0000 0.0000 0.0000 Eu
0.2500 0.2500 0.2500 Ge
0.7500 0.7500 0.7500 Pd
0.5000 0.5000 0.5000 La

***

No. 6
LaEuGePt, relaxed, DFT PBE; space-group type = F-43m; formation energy from the elements = -0.794 eV/atom
1.0
-2.3302 2.1912 -4.1194
-4.3587 -2.0966 -1.9512
-4.5638 2.4554 0.5862
Eu Ge Pt La
1 1 1 1
Direct
0.0000 0.0000 0.0000 Eu
0.2500 0.2500 0.2500 Ge
0.7500 0.7500 0.7500 Pt
0.5000 0.5000 0.5000 La

***

no.,VASP energy (eV for the cell shown)
1,-31.34
2,-26.82
3,-23.32
4,-27.13
5,-27.76
6,-29.04